# 1
Entry from Alexandria via LeMat-Bulk: a relaxed structure of Pr2Ga7Cu12 (PBE).

Unit cell a=9.6138 b=9.6138 c=4.0697 alpha=90.00 beta=90.00 gamma=120.00
Closest atoms and distances in Å follow each position.
Atoms (fractional coordinates):
Pr1 0.0000 0.0000 0.0000  12 Cu 3.11-3.33, 6 Ga 3.20
Pr2 0.3333 0.6667 0.5000  9 Cu 3.20-3.39, 6 Ga 3.24
Ga1 0.0344 0.4765 0.0000  7 Cu 2.49-2.71
Ga2 0.2637 0.2495 0.5000  7 Cu 2.47-2.64
Ga3 0.4422 0.9656 0.0000  7 Cu 2.49-2.71
Ga4 0.5235 0.5578 0.0000  7 Cu 2.49-2.71
Ga5 0.6667 0.3333 0.0000  9 Cu 2.44-2.55
Ga6 0.7505 0.0142 0.5000  7 Cu 2.47-2.64
Ga7 0.9858 0.7363 0.5000  7 Cu 2.47-2.64
Cu1 0.0199 0.2841 0.5000  4 Ga 2.53-2.71, 5 Cu 2.55-2.70
Cu2 0.1473 0.7742 0.0000  4 Ga 2.47-2.50, 3 Cu 2.66-2.74
Cu3 0.2258 0.3731 0.0000  4 Ga 2.47-2.50, 3 Cu 2.66-2.74
Cu4 0.2642 0.9801 0.5000  4 Ga 2.53-2.71, 5 Cu 2.55-2.70
Cu5 0.3741 0.1924 0.0000  4 Ga 2.44-2.57, 2 Cu 2.70
Cu6 0.5693 0.1492 0.5000  3 Cu 2.55-2.66, 5 Ga 2.55-2.64
Cu7 0.5799 0.4307 0.5000  3 Cu 2.55-2.66, 5 Ga 2.55-2.64
Cu8 0.6269 0.8527 0.0000  4 Ga 2.47-2.50, 3 Cu 2.66-2.74
Cu9 0.7159 0.7358 0.5000  4 Ga 2.53-2.71, 5 Cu 2.55-2.70
Cu10 0.8076 0.1817 0.0000  4 Ga 2.44-2.57, 2 Cu 2.70
Cu11 0.8183 0.6259 0.0000  4 Ga 2.44-2.57, 2 Cu 2.70
Cu12 0.8508 0.4201 0.5000  3 Cu 2.55-2.66, 5 Ga 2.55-2.64

- Raw total energy: -4.03 eV/atom
- Formation enthalpy at 0 K: -0.222 eV/atom
- SG: P-6



# 2
Entry from Alexandria via LeMat-Bulk: a relaxed structure of TiGaI2O (PBE).

Unit cell a=5.8498 b=5.8498 c=3.7911 alpha=90.00 beta=90.00 gamma=90.00
Closest atoms and distances in Å follow each position.
Atoms (fractional coordinates):
Ti1 0.0000 0.0000 0.0000  2 O 1.90
Ga1 0.5000 0.5000 0.5000  8 I 3.49, 2 Ga 3.79
I1 0.0000 0.5000 0.0000  2 Ti 2.92
I2 0.5000 0.0000 0.0000  2 Ti 2.92
O1 0.0000 0.0000 0.5000  2 Ti 1.90

- Raw total energy: -4.84 eV/atom
- ΔE to the lowest computed polymorph: 0.0000 eV per atom
- SG: P4/mmm



# 3
Entry from Alexandria via LeMat-Bulk: a relaxed structure of TlCu2NiBr6 (PBE).

Unit cell a=9.4874 b=9.4874 c=7.9325 alpha=108.59 beta=108.59 gamma=83.05
Closest atoms and distances in Å follow each position.
Atoms (fractional coordinates):
Tl1 0.1801 0.8199 0.7500  6 Br 3.27-3.64
Tl2 0.8199 0.1801 0.2500  6 Br 3.27-3.64
Cu1 0.2565 0.3595 0.8241  4 Br 2.39-2.51
Cu2 0.3595 0.2565 0.3241  4 Br 2.39-2.51
Cu3 0.6405 0.7435 0.6759  4 Br 2.39-2.51
Cu4 0.7435 0.6405 0.1759  4 Br 2.39-2.51
Ni1 0.1818 0.8182 0.2500  4 Br 2.35-2.37
Ni2 0.8182 0.1818 0.7500  4 Br 2.35-2.37
Br1 0.0437 0.1837 0.6822  1 Ni 2.37, 1 Cu 2.51
Br2 0.1606 0.6046 0.9914  1 Ni 2.35, 1 Cu 2.51
Br3 0.1837 0.0437 0.1822  1 Ni 2.37, 1 Cu 2.51
Br4 0.2639 0.4279 0.5592  2 Cu 2.39-2.41
Br5 0.3954 0.8394 0.5086  1 Ni 2.35, 1 Cu 2.51
Br6 0.4279 0.2639 0.0592  2 Cu 2.39-2.41
Br7 0.5721 0.7361 0.9408  2 Cu 2.39-2.41
Br8 0.6046 0.1606 0.4914  1 Ni 2.35, 1 Cu 2.51
Br9 0.7361 0.5721 0.4408  2 Cu 2.39-2.41
Br10 0.8163 0.9563 0.8178  1 Ni 2.37, 1 Cu 2.51
Br11 0.8394 0.3954 0.0086  1 Ni 2.35, 1 Cu 2.51
Br12 0.9563 0.8163 0.3178  1 Ni 2.37, 1 Cu 2.51

- Raw total energy: -3.01 eV/atom
- SG: C2/c



# 4
Entry from Alexandria via LeMat-Bulk: a relaxed structure of MgRe3Sb (PBE).

Unit cell a=4.8582 b=4.8582 c=4.8582 alpha=90.00 beta=90.00 gamma=90.00
Closest atoms and distances in Å follow each position.
Atoms (fractional coordinates):
Mg1 0.0000 0.0000 0.0000  12 Re 3.44
Re1 0.0000 0.5000 0.5000  2 Sb 2.43
Re2 0.5000 0.0000 0.5000  2 Sb 2.43
Re3 0.5000 0.5000 0.0000  2 Sb 2.43
Sb1 0.5000 0.5000 0.5000  6 Re 2.43

- Raw total energy: -6.31 eV/atom
- ΔE to the lowest computed polymorph: 0.0000 eV per atom
- SG: Pm-3m



# 5
Entry from Alexandria via LeMat-Bulk: a relaxed structure of BeCrPb (PBE).

Unit cell a=5.3959 b=5.3959 c=5.3959 alpha=145.89 beta=145.89 gamma=49.01
Closest atoms and distances in Å follow each position.
Atoms (fractional coordinates):
Be1 0.0000 0.0000 0.0000  4 Cr 2.38
Cr1 0.4167 0.4167 0.0000  4 Be 2.38
Pb1 0.7145 0.7145 0.0000  5 Be 2.80-3.07, 5 Cr 2.92-2.99

- Raw total energy: -5.05 eV/atom
- ΔE to the lowest computed polymorph: 0.0780 eV per atom
- Formation enthalpy at 0 K: 0.631 eV/atom
- SG: I4mm



# 6
Entry from Alexandria via LeMat-Bulk: a relaxed structure of BaDyC2O6 (PBE).

Unit cell a=6.4294 b=6.4294 c=7.0729 alpha=103.04 beta=103.04 gamma=100.15
Closest atoms and distances in Å follow each position.
Atoms (fractional coordinates):
Ba1 0.1380 0.8620 0.7500  8 O 2.77-2.92
Ba2 0.8620 0.1380 0.2500  8 O 2.77-2.92
Dy1 0.4133 0.5867 0.2500  8 O 2.31-2.49
Dy2 0.5867 0.4133 0.7500  8 O 2.31-2.49
C1 0.1274 0.3686 0.7516  3 O 1.31-1.34
C2 0.3686 0.1274 0.2516  3 O 1.31-1.34
C3 0.6314 0.8726 0.7484  3 O 1.31-1.34
C4 0.8726 0.6314 0.2484  3 O 1.31-1.34
O1 0.0697 0.5953 0.2954  1 C 1.31
O2 0.1954 0.2357 0.6175  1 C 1.33
O3 0.2357 0.1954 0.1175  1 C 1.33
O4 0.2910 0.5186 0.8973  1 C 1.34
O5 0.4047 0.9303 0.2046  1 C 1.31
O6 0.4814 0.7090 0.6027  1 C 1.34
O7 0.5186 0.2910 0.3973  1 C 1.34
O8 0.5953 0.0697 0.7954  1 C 1.31
O9 0.7090 0.4814 0.1027  1 C 1.34
O10 0.7643 0.8046 0.8825  1 C 1.33
O11 0.8046 0.7643 0.3825  1 C 1.33
O12 0.9303 0.4047 0.7046  1 C 1.31

- Raw total energy: -7.59 eV/atom
- SG: C2/c



# 7
Entry from Alexandria via LeMat-Bulk: a relaxed structure of NdZrSi2Rh5 (PBE).

Unit cell a=4.0539 b=4.0539 c=10.5829 alpha=90.00 beta=90.00 gamma=90.00
Closest atoms and distances in Å follow each position.
Atoms (fractional coordinates):
Nd1 0.0000 0.0000 0.0000  4 Rh 2.87
Zr1 0.0000 0.0000 0.5000  8 Rh 2.73
Si1 0.5000 0.5000 0.2188  5 Rh 2.32-2.33
Si2 0.5000 0.5000 0.7812  5 Rh 2.32-2.33
Rh1 0.0000 0.5000 0.3279  2 Si 2.33
Rh2 0.0000 0.5000 0.6721  2 Si 2.33
Rh3 0.5000 0.0000 0.3279  2 Si 2.33
Rh4 0.5000 0.0000 0.6721  2 Si 2.33
Rh5 0.5000 0.5000 0.0000  2 Si 2.32

- Raw total energy: -7.37 eV/atom
- SG: P4/mmm



# 8
Entry from Alexandria via LeMat-Bulk: a relaxed structure of Y2HgOs (PBE).

Unit cell a=9.9451 b=9.9451 c=9.9451 alpha=19.93 beta=19.93 gamma=19.93
Closest atoms and distances in Å follow each position.
Atoms (fractional coordinates):
Y1 0.0000 0.0000 0.0000  3 Hg 3.18, 6 Y 3.44
Y2 0.2222 0.2222 0.2222  3 Os 2.78
Hg1 0.7515 0.7515 0.7515  3 Os 2.87, 3 Y 3.18
Os1 0.4892 0.4892 0.4892  3 Y 2.78, 3 Hg 2.87

- Raw total energy: -5.76 eV/atom
- Formation enthalpy at 0 K: 0.356 eV/atom
- SG: R3m